# MgAuCl2 | the Alexandria database | PBE | relaxed
data_MgAuCl2
_symmetry_space_group_name_H-M 'I m m m'
_symmetry_Int_Tables_number 71
_symmetry_space_group_name_Hall '-I 2 2'
_cell_length_a 3.3124
_cell_length_b 5.3130
_cell_length_c 12.6315
_cell_angle_alpha 90.00
_cell_angle_beta 90.00
_cell_angle_gamma 90.00
loop_
_atom_site_label
_atom_site_type_symbol
_atom_site_fract_x
_atom_site_fract_y
_atom_site_fract_z
Mg1 Mg 0.0000 0.0000 0.0000
Au1 Au 0.0000 0.0000 0.5000
Cl1 Cl 0.0000 0.5000 0.3625
# * E_form (uncorrected): -18.29 kcal/mol of atoms
# * crystal system: orthorhombic
# * density: 4.4 g cm⁻³

---

# TaCoTe2I | the Alexandria database | PBE | relaxed
data_TaCoTe2I
_symmetry_space_group_name_H-M 'P 4/m m m'
_symmetry_Int_Tables_number 123
_symmetry_space_group_name_Hall '-P 4 2'
_cell_length_a 5.3951
_cell_length_b 5.3951
_cell_length_c 5.6222
_cell_angle_alpha 90.00
_cell_angle_beta 90.00
_cell_angle_gamma 90.00
loop_
_atom_site_label
_atom_site_type_symbol
_atom_site_fract_x
_atom_site_fract_y
_atom_site_fract_z
Ta1 Ta 0.0000 0.0000 0.0000
Co1 Co 0.5000 0.5000 0.5000
Te1 Te 0.0000 0.5000 0.0000
I1 I 0.0000 0.0000 0.5000
# * E_form (uncorrected): 20.81 kcal/mol of atoms
# * crystal system: tetragonal
# * density: 6.3 g cm⁻³

---

# CeTmScTi | the Alexandria database | PBE | relaxed
data_CeTmScTi
_symmetry_space_group_name_H-M 'F -4 3 m'
_symmetry_Int_Tables_number 216
_symmetry_space_group_name_Hall 'F -4 2 3'
_cell_length_a 7.3763
_cell_length_b 7.3763
_cell_length_c 7.3763
_cell_angle_alpha 90.00
_cell_angle_beta 90.00
_cell_angle_gamma 90.00
loop_
_atom_site_label
_atom_site_type_symbol
_atom_site_fract_x
_atom_site_fract_y
_atom_site_fract_z
Ce1 Ce 0.0000 0.0000 0.0000
Tm1 Tm 0.0000 0.0000 0.5000
Sc1 Sc 0.2500 0.2500 0.2500
Ti1 Ti 0.2500 0.2500 0.7500
# * energy relative to the elements: 0.193 eV per atom
# * crystal system: cubic
# * density: 6.7 g cm⁻³

---

# SnHN2O | the Alexandria database | PBE | relaxed
data_SnHN2O
_symmetry_space_group_name_H-M 'P 4/m m m'
_symmetry_Int_Tables_number 123
_symmetry_space_group_name_Hall '-P 4 2'
_cell_length_a 4.4026
_cell_length_b 4.4026
_cell_length_c 3.9586
_cell_angle_alpha 90.00
_cell_angle_beta 90.00
_cell_angle_gamma 90.00
loop_
_atom_site_label
_atom_site_type_symbol
_atom_site_fract_x
_atom_site_fract_y
_atom_site_fract_z
Sn1 Sn 0.0000 0.0000 0.0000
H1 H 0.5000 0.5000 0.5000
N1 N 0.0000 0.5000 0.0000
O1 O 0.0000 0.0000 0.5000
# * E: -21.46 eV per cell
# * crystal system: tetragonal
# * density: 3.5 g cm⁻³